No. 1
A geometry-optimized ReN2 structure, computed with PBE.

abc: 4.849 4.849 2.814
angles: 90.00 90.00 90.00
Fractional positions:
Re 0.000 0.000 0.000
Re 0.500 0.500 0.500
N 0.204 0.204 0.500
N 0.296 0.704 0.000
N 0.704 0.296 0.000
N 0.796 0.796 0.500

Calculated values
Theoretical density, kg/m³: 10751
E_tot, eV per atom: -9.42

No. 2
A geometry-optimized TmAgSeO structure, computed with PBE.

abc: 4.269 6.675 6.353
angles: 90.00 90.00 90.00
Fractional positions:
Tm 0.000 0.152 0.000
Tm 0.000 0.848 0.500
Ag 0.500 0.265 0.582
Ag 0.500 0.735 0.082
Se 0.500 0.344 0.174
Se 0.500 0.656 0.674
O 0.000 0.108 0.675
O 0.000 0.892 0.175

Calculated values
Theoretical density, kg/m³: 6820
E_tot, eV per atom: -5.54

No. 3
A geometry-optimized TmSiHO4 structure, computed with PBE.

abc: 5.347 5.928 10.916
angles: 90.00 114.78 90.00
Fractional positions:
Tm 0.066 0.108 0.351
Tm 0.066 0.392 0.851
Tm 0.934 0.608 0.149
Tm 0.934 0.892 0.649
Si 0.404 0.162 0.651
Si 0.404 0.338 0.151
Si 0.596 0.662 0.849
Si 0.596 0.838 0.349
H 0.333 0.525 0.554
H 0.333 0.975 0.054
H 0.667 0.025 0.946
H 0.667 0.475 0.446
O 0.252 0.163 0.752
O 0.252 0.337 0.252
O 0.263 0.657 0.775
O 0.263 0.843 0.275
O 0.275 0.556 0.053
O 0.275 0.944 0.553
O 0.282 0.133 0.033
O 0.282 0.367 0.533
O 0.718 0.633 0.467
O 0.718 0.867 0.967
O 0.725 0.056 0.447
O 0.725 0.444 0.947
O 0.737 0.157 0.725
O 0.737 0.343 0.225
O 0.748 0.663 0.748
O 0.748 0.837 0.248

Calculated values
Theoretical density, kg/m³: 5540
E above lowest polymorph, meV/atom: 18
E_tot, eV per atom: -7.46

No. 4
A geometry-optimized Y3Er2Tm3 structure, computed with PBE.

abc: 7.191 7.191 5.583
angles: 90.00 90.00 120.00
Fractional positions:
Y 0.000 0.500 0.000
Y 0.500 0.000 0.000
Y 0.500 0.500 0.000
Er 0.000 0.000 0.000
Er 0.333 0.667 0.500
Tm 0.332 0.166 0.500
Tm 0.834 0.166 0.500
Tm 0.834 0.668 0.500

Calculated values
Theoretical density, kg/m³: 7359
ΔH_f (0 K), eV per atom: 0.00
E_tot, eV per atom: -5.24

No. 5
A geometry-optimized LaNbSn2Pd2 structure, computed with PBE.

abc: 4.567 9.266 6.616
angles: 90.00 90.00 90.00
Fractional positions:
La 0.000 0.121 0.000
La 0.500 0.879 0.500
Nb 0.000 0.622 0.005
Nb 0.500 0.378 0.505
Sn 0.000 0.145 0.509
Sn 0.000 0.614 0.486
Sn 0.500 0.386 0.986
Sn 0.500 0.855 0.009
Pd 0.000 0.392 0.745
Pd 0.000 0.846 0.768
Pd 0.500 0.154 0.268
Pd 0.500 0.608 0.245

Calculated values
Theoretical density, kg/m³: 8090
E_tot, eV per atom: -6.14

No. 6
A geometry-optimized YZrAl2Pd4 structure, computed with PBE.

abc: 4.333 4.333 8.922
angles: 90.00 90.00 120.00
Fractional positions:
Y 0.000 0.000 0.000
Zr 0.667 0.333 0.500
Al 0.333 0.667 0.261
Al 0.333 0.667 0.739
Pd 0.000 0.000 0.342
Pd 0.000 0.000 0.658
Pd 0.667 0.333 0.177
Pd 0.667 0.333 0.823

Calculated values
Theoretical density, kg/m³: 7553
E_tot, eV per atom: -6.28

No. 7
A geometry-optimized UCuW structure, computed with PBE.

abc: 4.415 4.415 4.415
angles: 60.00 60.00 60.00
Fractional positions:
U 0.000 0.000 0.000
Cu 0.250 0.250 0.250
W 0.750 0.750 0.750

Calculated values
Theoretical density, kg/m³: 13244
E above lowest polymorph, meV/atom: 409
ΔH_f (0 K), eV per atom: 1.32
E_tot, eV per atom: -8.00

No. 8
A geometry-optimized Ba2MgTcN6 structure, computed with PBE.

abc: 5.830 5.830 5.832
angles: 120.01 120.01 59.98
Fractional positions:
Ba 0.250 0.250 0.250
Ba 0.750 0.750 0.750
Mg 0.000 0.000 0.500
Tc 0.500 0.500 0.000
N 0.259 0.738 0.237
N 0.261 0.261 0.758
N 0.262 0.741 0.763
N 0.738 0.259 0.237
N 0.739 0.739 0.242
N 0.741 0.262 0.763

Calculated values
Theoretical density, kg/m³: 5700
E_tot, eV per atom: -6.30

No. 9
A geometry-optimized Dy2Tm4LuNi2Te2 structure, computed with PBE.

abc: 9.238 9.238 9.238
angles: 156.12 67.13 118.31
Fractional positions:
Dy 0.146 0.000 0.146
Dy 0.854 0.000 0.854
Tm 0.219 0.853 0.365
Tm 0.463 0.648 0.815
Tm 0.488 0.853 0.635
Tm 0.833 0.648 0.185
Lu 0.771 0.271 0.500
Ni 0.076 0.340 0.737
Ni 0.603 0.340 0.263
Te 0.110 0.610 0.500
Te 0.504 0.504 0.000

Calculated values
Theoretical density, kg/m³: 9223
E above lowest polymorph, meV/atom: 0
E_tot, eV per atom: -5.13

No. 10
A geometry-optimized Zn2In structure, computed with PBE.

abc: 5.201 9.503 4.673
angles: 90.00 90.00 90.00
Fractional positions:
Zn 0.250 0.111 0.095
Zn 0.250 0.250 0.599
Zn 0.250 0.389 0.095
Zn 0.250 0.750 0.124
Zn 0.750 0.250 0.876
Zn 0.750 0.611 0.905
Zn 0.750 0.750 0.401
Zn 0.750 0.889 0.905
In 0.250 0.575 0.621
In 0.250 0.925 0.621
In 0.750 0.075 0.379
In 0.750 0.425 0.379

Calculated values
Theoretical density, kg/m³: 7065
E_tot, eV per atom: -1.65

No. 11
A geometry-optimized TaNbAsO structure, computed with PBE.

abc: 3.592 5.694 6.139
angles: 90.00 90.00 90.00
Fractional positions:
Ta 0.000 0.118 0.000
Ta 0.000 0.882 0.500
Nb 0.500 0.404 0.311
Nb 0.500 0.596 0.811
As 0.500 0.176 0.694
As 0.500 0.824 0.194
O 0.000 0.225 0.325
O 0.000 0.775 0.825

Calculated values
Theoretical density, kg/m³: 9647
E above lowest polymorph, meV/atom: 51
E_tot, eV per atom: -8.83

No. 12
A geometry-optimized RbCdBiTe3 structure, computed with PBE.

abc: 8.429 8.429 11.997
angles: 90.00 90.00 148.23
Fractional positions:
Rb 0.249 0.751 0.750
Rb 0.751 0.249 0.250
Cd 0.044 0.956 0.250
Cd 0.956 0.044 0.750
Bi 0.500 0.500 0.000
Bi 0.500 0.500 0.500
Te 0.132 0.868 0.045
Te 0.132 0.868 0.455
Te 0.434 0.566 0.250
Te 0.566 0.434 0.750
Te 0.868 0.132 0.545
Te 0.868 0.132 0.955

Calculated values
Theoretical density, kg/m³: 5842
E_tot, eV per atom: -3.11